(1)
KSr2AgW: relaxed, PBE-GGA.

Summary:
* SG: No. 123
* calculated formation energy: 41.6 kcal/mol of atoms

a b c (Å): 6.164 5.131 6.164
angles (deg): 90.00 90.00 90.00
Fractional positions:
K 0.000 0.000 0.000
W 0.500 0.500 0.500
Sr 0.500 0.000 0.000
Sr 0.000 0.000 0.500
Ag 0.000 0.500 0.000

(2)
Li5Ca2Cu4: relaxed, PBE-GGA.

Summary:
* SG: No. 71
* calculated formation energy: -0.1 kcal/mol of atoms

a b c (Å): 5.373 6.762 6.753
angles (deg): 75.86 66.56 66.59
Fractional positions:
Cu 0.760 0.585 0.896
Cu 0.240 0.415 0.104
Cu 0.759 0.895 0.586
Cu 0.241 0.105 0.414
Ca 0.287 0.714 0.713
Ca 0.713 0.286 0.287
Li 0.253 0.187 0.813
Li 0.254 0.813 0.187
Li 0.747 0.813 0.187
Li 0.746 0.187 0.813
Li 0.000 0.500 0.500

(3)
LaMo3S: relaxed, PBE-GGA.

Summary:
* SG: No. 221
* E above lowest polymorph: 2184 meV/atom
* energy relative to the elements, uncorrected: 2517.9 meV per atom

a b c (Å): 4.819 4.819 4.819
angles (deg): 90.00 90.00 90.00
Fractional positions:
Mo 0.000 0.000 0.500
Mo 0.500 0.000 0.000
Mo 0.000 0.500 0.000
La 0.000 0.000 0.000
S 0.500 0.500 0.500

(4)
Pu5PdAu3: relaxed, PBE-GGA.

Summary:
* SG: No. 193
* calculated formation energy: -7.9 kcal/mol of atoms

a b c (Å): 5.956 9.206 9.206
angles (deg): 120.00 90.00 90.00
Fractional positions:
Pu 0.750 0.275 0.275
Pu 0.500 0.333 0.667
Pu 0.250 0.275 0.000
Pu 0.250 0.725 0.725
Pu 0.000 0.333 0.667
Pu 0.750 0.000 0.725
Pu 0.750 0.725 0.000
Pu 0.000 0.667 0.333
Pu 0.500 0.667 0.333
Pu 0.250 0.000 0.275
Au 0.250 0.000 0.614
Au 0.750 0.614 0.614
Au 0.250 0.614 0.000
Au 0.750 0.386 0.000
Au 0.750 0.000 0.386
Au 0.250 0.386 0.386
Pd 0.000 0.000 0.000
Pd 0.500 0.000 0.000

Number 1: E -11.24 eV per cell, density of states at the Fermi level 5.31 states/eV/cell. Number 2: E -30.02 eV per cell, density of states at the Fermi level 5.01 states/eV/cell. Number 3: E -28.96 eV per cell, density of states at the Fermi level 10.83 states/eV/cell. Number 4: E -179.57 eV per cell, density of states at the Fermi level 83.75 states/eV/cell.